[1]
# PBE Be8Nb3V, optimized geometry
# **Energy relative to the elements**: -0.204 eV/atom
# **Density of states at the Fermi level**: 7.13 states/eV per cell
# **E above lowest polymorph**: 0.000 eV per atom
# **Electronic total energy**: -5.965 eV/atom
data_Be8Nb3V
_chemical_formula_sum 'Be8 Nb3 V1'
_space_group_name_H-M_alt 'P 3 m 1'
_space_group_IT_number 156
_space_group_name_Hall 'P 3 -2"'
_cell_length_a 4.5842
_cell_length_b 4.5842
_cell_length_c 7.3560
_cell_angle_alpha 90.00
_cell_angle_beta 90.00
_cell_angle_gamma 120.00
loop_
_atom_site_label
_atom_site_type_symbol
_atom_site_fract_x
_atom_site_fract_y
_atom_site_fract_z
Be1 Be 0.0000 0.0000 0.0000
Be2 Be 0.0000 0.0000 0.4984
Be3 Be 0.1708 0.3417 0.2451
Be4 Be 0.3448 0.1724 0.7526
Nb1 Nb 0.3333 0.6667 0.5668
Nb2 Nb 0.3333 0.6667 0.9362
Nb3 Nb 0.6667 0.3333 0.4257
V1 V 0.6667 0.3333 0.0661

=====

[2]
# PBE Be3NbV, optimized geometry
# **Energy relative to the elements**: 1.565 eV/atom
# **Density of states at the Fermi level**: 1.72 states/eV per cell
# **E above lowest polymorph**: 0.611 eV per atom
# **Electronic total energy**: -4.508 eV/atom
data_Be3NbV
_chemical_formula_sum 'Be3 Nb1 V1'
_space_group_name_H-M_alt 'P m -3 m'
_space_group_IT_number 221
_space_group_name_Hall '-P 4 2 3'
_cell_length_a 4.232
_cell_length_b 4.232
_cell_length_c 4.232
_cell_angle_alpha 90.00
_cell_angle_beta 90.00
_cell_angle_gamma 90.00
loop_
_atom_site_label
_atom_site_type_symbol
_atom_site_fract_x
_atom_site_fract_y
_atom_site_fract_z
Be1 Be 0.000 0.000 0.500
Nb1 Nb 0.000 0.000 0.000
V1 V 0.500 0.500 0.500

=====

[3]
# PBE Be9NbV2, optimized geometry
# **Energy relative to the elements**: -0.252 eV/atom
# **Density of states at the Fermi level**: 7.88 states/eV per cell
# **Electronic total energy**: -5.406 eV/atom
data_Be9NbV2
_chemical_formula_sum 'Be27 Nb3 V6'
_space_group_name_H-M_alt 'R -3 m'
_space_group_IT_number 166
_space_group_name_Hall '-R 3 2"'
_cell_length_a 4.4009
_cell_length_b 4.4009
_cell_length_c 20.5110
_cell_angle_alpha 90.00
_cell_angle_beta 90.00
_cell_angle_gamma 120.00
loop_
_atom_site_label
_atom_site_type_symbol
_atom_site_fract_x
_atom_site_fract_y
_atom_site_fract_z
Be1 Be 0.0000 0.0000 0.0000
Be2 Be 0.0000 0.0000 0.1658
Be3 Be 0.0057 0.5029 0.4161
Nb1 Nb 0.0000 0.0000 0.5000
V1 V 0.0000 0.0000 0.3582

=====

no.,density (g cm⁻³)
1,5.0
2,3.7
3,4.0